VASP calculation (PBE-GGA) on a relaxed HfTlNO2 crystal.

Results
ΔE_f (raw) (eV/atom): 0.370
V (Å³/f.u.): 74
Crystal system: tetragonal
Space group: No. 123

Cell: 4.162 4.162 4.250 Å, 90.00 90.00 90.00°
Sites, in units of the cell vectors:
1 Hf 0.000 0.000 0.000
2 Tl 0.500 0.500 0.500
3 N 0.500 0.500 0.000
4 O 0.000 0.500 0.500
5 O 0.500 0.000 0.500